Compound: SbMoSe2
Source: the Alexandria database
Functional: GGA-PBE
Structure: optimized geometry

Calculated values
Symmetry: Immm
Size of the total moment in μB/atom: 0.000
Uncorrected formation energy in meV per atom: 115

Cell lengths 3.309, 4.678, 12.137 Å; angles 90.00, 90.00, 90.00 degrees
Fractional positions:
Sb (0.000, 0.000, 0.000)
Sb (0.500, 0.500, 0.500)
Mo (0.000, 0.000, 0.500)
Mo (0.500, 0.500, 0.000)
Se (0.000, 0.500, 0.167)
Se (0.000, 0.500, 0.833)
Se (0.500, 0.000, 0.333)
Se (0.500, 0.000, 0.667)

=====

Compound: La2MgPb
Source: the Alexandria database
Functional: GGA-PBE
Structure: optimized geometry

Calculated values
Symmetry: Cmmm
Size of the total moment in μB/atom: 0.000
ΔE_f in eV/atom: -0.362

Cell lengths 7.154, 9.494, 3.650 Å; angles 90.00, 90.00, 90.00 degrees
Fractional positions:
La (0.250, 0.250, 0.000)
La (0.250, 0.750, 0.000)
La (0.750, 0.250, 0.000)
La (0.750, 0.750, 0.000)
Mg (0.000, 0.000, 0.500)
Mg (0.500, 0.500, 0.500)
Pb (0.000, 0.500, 0.500)
Pb (0.500, 0.000, 0.500)

=====

Compound: Nd3Ho4Ag
Source: the Alexandria database
Functional: GGA-PBE
Structure: optimized geometry

Calculated values
Symmetry: P4/mmm
Size of the total moment in μB/atom: 0.000
ΔE_f in eV/atom: -0.060

Cell lengths 3.598, 3.598, 19.068 Å; angles 90.00, 90.00, 90.00 degrees
Fractional positions:
Nd (0.000, 0.000, 0.000)
Nd (0.000, 0.000, 0.268)
Nd (0.000, 0.000, 0.732)
Ho (0.500, 0.500, 0.134)
Ho (0.500, 0.500, 0.403)
Ho (0.500, 0.500, 0.597)
Ho (0.500, 0.500, 0.866)
Ag (0.000, 0.000, 0.500)

=====

Compound: CsTlO3
Source: the Alexandria database
Functional: GGA-PBE
Structure: optimized geometry

Calculated values
Symmetry: Pm-3m
Size of the total moment in μB/atom: 0.402
Uncorrected formation energy in meV per atom: -347

Cell lengths 4.534, 4.534, 4.534 Å; angles 90.00, 90.00, 90.00 degrees
Fractional positions:
Cs (0.000, 0.000, 0.000)
Tl (0.500, 0.500, 0.500)
O (0.000, 0.500, 0.500)
O (0.500, 0.000, 0.500)
O (0.500, 0.500, 0.000)

=====

Compound: Sc2AgW
Source: the Alexandria database
Functional: GGA-PBE
Structure: optimized geometry

Calculated values
Symmetry: C2/m
Size of the total moment in μB/atom: 0.000
Excess energy over the best structure of this formula in the dataset in meV/atom: 249
ΔE_f in eV/atom: 0.301

Cell lengths 9.394, 2.928, 5.701 Å; angles 90.00, 99.26, 90.00 degrees
Fractional positions:
Sc (0.247, 0.000, 0.238)
Sc (0.253, 0.500, 0.762)
Sc (0.747, 0.500, 0.238)
Sc (0.753, 0.000, 0.762)
Ag (0.000, 0.000, 0.500)
Ag (0.500, 0.500, 0.500)
W (0.000, 0.500, 0.000)
W (0.500, 0.000, 0.000)

=====

Compound: Tm2HgP
Source: the Alexandria database
Functional: GGA-PBE
Structure: optimized geometry

Calculated values
Symmetry: R-3m
Size of the total moment in μB/atom: 0.000
ΔE_f in eV/atom: -0.979

Cell lengths 3.831, 3.831, 23.076 Å; angles 90.00, 90.00, 120.00 degrees
Fractional positions:
Tm (0.000, 0.000, 0.236)
Tm (0.000, 0.000, 0.764)
Tm (0.333, 0.667, 0.431)
Tm (0.333, 0.667, 0.902)
Tm (0.667, 0.333, 0.098)
Tm (0.667, 0.333, 0.569)
Hg (0.000, 0.000, 0.000)
Hg (0.333, 0.667, 0.667)
Hg (0.667, 0.333, 0.333)
P (0.000, 0.000, 0.500)
P (0.333, 0.667, 0.167)
P (0.667, 0.333, 0.833)

=====

Compound: SnHg3Se4
Source: the Alexandria database
Functional: GGA-PBE
Structure: optimized geometry

Calculated values
Symmetry: Pmn2_1
Size of the total moment in μB/atom: 0.000
Uncorrected formation energy in meV per atom: -190

Cell lengths 8.898, 7.706, 7.593 Å; angles 90.00, 90.00, 90.00 degrees
Fractional positions:
Sn (0.000, 0.166, 0.000)
Sn (0.500, 0.834, 0.500)
Hg (0.000, 0.823, 0.508)
Hg (0.248, 0.664, 0.010)
Hg (0.252, 0.336, 0.510)
Hg (0.500, 0.177, 0.008)
Hg (0.748, 0.336, 0.510)
Hg (0.752, 0.664, 0.010)
Se (0.000, 0.162, 0.602)
Se (0.000, 0.822, 0.146)
Se (0.244, 0.662, 0.648)
Se (0.256, 0.338, 0.148)
Se (0.500, 0.178, 0.646)
Se (0.500, 0.838, 0.102)
Se (0.744, 0.338, 0.148)
Se (0.756, 0.662, 0.648)

=====

Compound: BaNp2OsS8
Source: the Alexandria database
Functional: GGA-PBE
Structure: optimized geometry

Calculated values
Symmetry: P-1
Size of the total moment in μB/atom: 0.347
Uncorrected formation energy in meV per atom: -818

Cell lengths 5.849, 6.119, 8.272 Å; angles 89.97, 89.92, 88.52 degrees
Fractional positions:
Ba (0.000, 0.000, 0.000)
Np (0.500, 0.500, 0.258)
Np (0.500, 0.500, 0.742)
Os (0.000, 0.000, 0.500)
S (0.236, 0.329, 0.500)
S (0.250, 0.839, 0.690)
S (0.251, 0.839, 0.309)
S (0.258, 0.416, 0.000)
S (0.742, 0.584, 0.000)
S (0.749, 0.161, 0.691)
S (0.750, 0.161, 0.310)
S (0.764, 0.671, 0.500)

=====

Compound: La9Pr11Dy4
Source: the Alexandria database
Functional: GGA-PBE
Structure: optimized geometry

Calculated values
Symmetry: Cmmm
Size of the total moment in μB/atom: 0.015
ΔE_f in eV/atom: 0.048

Cell lengths 16.207, 16.207, 3.737 Å; angles 90.00, 90.00, 117.99 degrees
Fractional positions:
La (0.000, 0.000, 0.000)
La (0.115, 0.673, 0.000)
La (0.296, 0.471, 0.000)
La (0.327, 0.885, 0.000)
La (0.471, 0.296, 0.000)
La (0.529, 0.704, 0.000)
La (0.673, 0.115, 0.000)
La (0.704, 0.529, 0.000)
La (0.885, 0.327, 0.000)
Pr (0.099, 0.464, 0.500)
Pr (0.122, 0.878, 0.500)
Pr (0.247, 0.247, 0.500)
Pr (0.320, 0.680, 0.500)
Pr (0.464, 0.099, 0.500)
Pr (0.500, 0.500, 0.500)
Pr (0.536, 0.901, 0.500)
Pr (0.680, 0.320, 0.500)
Pr (0.753, 0.753, 0.500)
Pr (0.878, 0.122, 0.500)
Pr (0.901, 0.536, 0.500)
Dy (0.075, 0.266, 0.000)
Dy (0.266, 0.075, 0.000)
Dy (0.734, 0.925, 0.000)
Dy (0.925, 0.734, 0.000)

=====

Compound: BH5Br4
Source: the Alexandria database
Functional: GGA-PBE
Structure: optimized geometry

Calculated values
Symmetry: I4
Size of the total moment in μB/atom: 0.000
Energy in eV for the cell shown: -28.33

Cell lengths 6.702, 6.702, 6.702 Å; angles 112.71, 112.71, 103.16 degrees
Fractional positions:
B (0.000, 0.000, 0.000)
H (0.194, 0.243, 0.246)
H (0.243, 0.997, 0.049)
H (0.857, 0.857, 0.000)
H (0.948, 0.194, 0.951)
H (0.997, 0.948, 0.754)
Br (0.237, 0.367, 0.520)
Br (0.367, 0.847, 0.130)
Br (0.716, 0.237, 0.870)
Br (0.847, 0.716, 0.480)

=====

Compound: Dy6YHo3
Source: the Alexandria database
Functional: GGA-PBE
Structure: optimized geometry

Calculated values
Symmetry: Cmc2_1
Size of the total moment in μB/atom: 0.000
Excess energy over the best structure of this formula in the dataset in meV/atom: 31
ΔE_f in eV/atom: 0.155

Cell lengths 10.933, 10.933, 6.184 Å; angles 90.00, 90.00, 119.91 degrees
Fractional positions:
Dy (0.044, 0.956, 0.500)
Dy (0.047, 0.468, 0.947)
Dy (0.280, 0.720, 0.233)
Dy (0.288, 0.381, 0.126)
Dy (0.381, 0.288, 0.626)
Dy (0.468, 0.047, 0.447)
Dy (0.532, 0.953, 0.947)
Dy (0.619, 0.712, 0.126)
Dy (0.712, 0.619, 0.626)
Dy (0.720, 0.280, 0.733)
Dy (0.953, 0.532, 0.447)
Dy (0.956, 0.044, 0.000)
Y (0.203, 0.797, 0.724)
Y (0.797, 0.203, 0.224)
Ho (0.060, 0.280, 0.551)
Ho (0.280, 0.060, 0.051)
Ho (0.390, 0.610, 0.660)
Ho (0.610, 0.390, 0.160)
Ho (0.720, 0.940, 0.551)
Ho (0.940, 0.720, 0.051)

=====

Compound: Sr3Mg7Tl4
Source: the Alexandria database
Functional: GGA-PBE
Structure: optimized geometry

Calculated values
Symmetry: C2/m
Size of the total moment in μB/atom: 0.000
ΔE_f in eV/atom: -0.216

Cell lengths 9.357, 9.357, 11.139 Å; angles 124.73, 124.73, 30.35 degrees
Fractional positions:
Sr (0.000, 0.000, 0.000)
Sr (0.302, 0.302, 0.297)
Sr (0.698, 0.698, 0.703)
Mg (0.000, 0.000, 0.500)
Mg (0.153, 0.153, 0.421)
Mg (0.328, 0.328, 0.985)
Mg (0.492, 0.492, 0.692)
Mg (0.508, 0.508, 0.308)
Mg (0.672, 0.672, 0.015)
Mg (0.847, 0.847, 0.579)
Tl (0.121, 0.121, 0.835)
Tl (0.341, 0.341, 0.728)
Tl (0.659, 0.659, 0.272)
Tl (0.879, 0.879, 0.165)